1.
This record from the Alexandria database describes a geometry-optimized SrCaRu structure. The functional is PBE-GGA.

POSCAR file:
```
SrCaRu
1.0
-2.166 -3.150 3.239
2.814 -3.155 2.689
0.545 0.710 4.930
Ru Sr Ca
1 1 1
Cartesian
0.894 -4.197 8.144 Ru
0.000 0.000 0.000 Sr
0.596 -2.798 5.429 Ca
```

## Properties
- magnetization (μB/f.u.) = 0.14
- energy above the lowest structure with this stoichiometry (eV per formula unit) = 1.186
- energy of formation (eV per atom) = 0.46
- space group = F-43m (216)
- energy (eV/atom) = -3.8627
- crystal system = cubic

=====

2.
This record from the Alexandria database describes a geometry-optimized Ce2Co3P4Os structure. The functional is PBE-GGA.

POSCAR file:
```
Ce2Co3P4Os
1.0
-1.468 -3.377 1.558
1.172 -2.010 -3.252
8.135 -1.700 3.981
P Ce Co Os
4 2 3 1
Cartesian
-0.148 -2.693 -0.847 P
4.468 -2.775 3.325 P
0.000 0.000 0.000 P
3.518 -1.617 -0.191 P
1.217 -2.096 1.734 Ce
6.769 -2.297 1.400 Ce
6.503 -3.201 4.321 Co
1.483 -1.192 -1.187 Co
4.067 -0.850 1.990 Co
3.919 -3.543 1.143 Os
```

## Properties
- magnetization (μB/f.u.) = 0.00
- energy of formation (eV per atom) = -1.00
- space group = P-4m2 (115)
- energy (eV/atom) = -7.6034
- crystal system = tetragonal

=====

3.
This record from the Alexandria database describes a geometry-optimized V3ZnSn structure. The functional is PBE-GGA.

POSCAR file:
```
V3ZnSn
1.0
-4.126 1.552 0.838
-1.359 -1.437 -4.027
-1.124 -3.957 1.791
V Zn Sn
3 1 1
Cartesian
-0.679 -0.718 -2.014 V
-0.562 -1.979 0.896 V
-2.063 0.776 0.419 V
0.000 0.000 0.000 Zn
-3.304 -1.921 -0.699 Sn
```

## Properties
- magnetization (μB/f.u.) = 0.99
- energy above the lowest structure with this stoichiometry (eV per formula unit) = 0.000
- energy of formation (eV per atom) = 0.96
- space group = Pm-3m (221)
- energy (eV/atom) = -5.5689
- crystal system = cubic

=====

4.
This record from the Alexandria database describes a geometry-optimized Y5HoIn6 structure. The functional is PBE-GGA.

POSCAR file:
```
Y5HoIn6
1.0
5.125 -0.004 -1.437
-3.842 7.437 -3.870
-0.198 -1.094 9.155
In Y Ho
6 5 1
Cartesian
0.876 0.161 3.126 In
-0.336 2.999 -1.207 In
0.208 6.178 0.723 In
1.420 3.340 5.056 In
2.832 1.573 0.238 In
-1.747 4.765 3.610 In
-2.627 4.591 0.475 Y
0.542 3.169 1.924 Y
-0.671 6.010 -2.413 Y
-1.414 1.752 4.810 Y
1.756 0.329 6.262 Y
0.000 0.000 0.000 Ho
```

## Properties
- magnetization (μB/f.u.) = 0.00
- energy of formation (eV per atom) = -0.49
- space group = Immm (71)
- energy (eV/atom) = -4.9358
- crystal system = orthorhombic

=====

5.
This record from the Alexandria database describes a geometry-optimized SrBe2Sb structure. The functional is PBE-GGA.

POSCAR file:
```
SrBe2Sb
1.0
4.984 0.000 0.000
2.492 4.317 0.000
2.492 1.439 4.070
Be Sb Sr
2 1 1
Cartesian
0.000 0.000 0.000 Be
2.492 1.439 1.017 Be
4.984 2.878 2.035 Sb
7.477 4.317 3.052 Sr
```

## Properties
- magnetization (μB/f.u.) = 0.00
- space group = F-43m (216)
- energy (eV/atom) = -2.7079
- crystal system = cubic
- raw formation energy (eV per atom) = 0.61

=====

6.
This record from the Alexandria database describes a geometry-optimized Pr3Ga3Si2 structure. The functional is PBE-GGA.

POSCAR file:
```
Pr3Ga3Si2
1.0
-0.719 -2.436 3.256
2.679 -3.177 -4.404
14.230 3.752 5.951
Pr Ga Si
6 6 4
Cartesian
12.724 -1.074 2.008 Pr
2.552 -3.956 0.223 Pr
3.466 -0.788 2.795 Pr
9.098 0.897 2.681 Pr
7.092 -2.759 2.122 Pr
13.639 2.094 4.580 Pr
6.257 -0.167 3.877 Ga
4.896 -1.598 -0.114 Ga
0.781 -1.610 1.587 Ga
9.934 -1.695 0.926 Ga
15.409 -0.252 3.216 Ga
11.295 -0.264 4.917 Ga
2.387 -0.819 -0.085 Si
13.804 -1.043 4.888 Si
6.070 0.152 1.455 Si
10.120 -2.014 3.348 Si
```

## Properties
- magnetization (μB/f.u.) = 0.00
- space group = Cmcm (63)
- energy (eV/atom) = -4.9551
- crystal system = orthorhombic
- raw formation energy (eV per atom) = -0.67

=====

7.
This record from the Alexandria database describes a geometry-optimized TlIrAu structure. The functional is PBE-GGA.

POSCAR file:
```
TlIrAu
1.0
-4.313 -2.183 -1.634
-0.406 -5.086 -0.081
0.955 4.053 2.950
Ir Au Tl
1 1 1
Cartesian
-1.574 -2.425 -0.572 Ir
-4.695 -7.232 -1.706 Au
-3.169 -4.882 -1.152 Tl
```

## Properties
- magnetization (μB/f.u.) = 0.00
- energy above the lowest structure with this stoichiometry (eV per formula unit) = 0.210
- energy of formation (eV per atom) = 0.52
- space group = Imm2 (44)
- energy (eV/atom) = -4.3117
- crystal system = orthorhombic

=====

8.
This record from the Alexandria database describes a geometry-optimized Mg2HgPd9 structure. The functional is PBE-GGA.

POSCAR file:
```
Mg2HgPd9
1.0
3.982 0.000 0.000
0.000 3.982 0.000
0.000 0.000 12.094
Pd Hg Mg
9 1 2
Cartesian
1.991 1.991 4.088 Pd
1.991 0.000 6.047 Pd
1.991 0.000 2.102 Pd
1.991 1.991 8.006 Pd
0.000 1.991 9.992 Pd
1.991 1.991 0.000 Pd
1.991 0.000 9.992 Pd
0.000 1.991 2.102 Pd
0.000 1.991 6.047 Pd
0.000 0.000 0.000 Hg
0.000 0.000 4.063 Mg
0.000 0.000 8.031 Mg
```

## Properties
- magnetization (μB/f.u.) = 0.00
- energy of formation (eV per atom) = -0.34
- space group = P4/mmm (123)
- energy (eV/atom) = -4.5278
- crystal system = tetragonal